DFT (PBE with a Hubbard U) results for a relaxed Li7Mn2Co3O12 crystal.

Output
* space-group type: No. 2
* total energy: -5.881 eV per atom

a = 5.0968 Å, b = 5.8920 Å, c = 7.7023 Å
α = 101.55°, β = 108.40°, γ = 90.51°
Closest atoms and distances in Å follow each position.
Sites, in units of the cell vectors:
Li 0.0000 0.0000 0.0000  6 O 2.06-2.13
Li 0.4812 0.0867 0.3243  5 O 2.03-2.24
Li 0.4940 0.5815 0.3319  6 O 2.06-2.16
Li 0.4987 0.7615 0.9986  6 O 2.10-2.29
Li 0.5013 0.2385 0.0014  6 O 2.10-2.29
Li 0.5060 0.4185 0.6681  6 O 2.06-2.16
Li 0.5188 0.9133 0.6757  5 O 2.03-2.24
Mn 0.0061 0.6694 0.6708  6 O 1.90-1.98
Mn 0.9939 0.3306 0.3292  6 O 1.90-1.98
Co 0.0000 0.5000 0.0000  6 O 1.99-2.05
Co 0.0035 0.1640 0.6768  5 O 1.89-2.06
Co 0.9965 0.8360 0.3232  5 O 1.89-2.06
O 0.2175 0.1385 0.4903  1 Mn 1.95, 2 Co 2.04-2.06, 2 Li 2.11-2.13
O 0.2186 0.6137 0.4946  2 Mn 1.97-1.98, 1 Co 2.12, 2 Li 2.14-2.16
O 0.2211 0.2999 0.1738  1 Mn 1.90, 1 Co 2.04, 3 Li 2.06-2.08
O 0.2277 0.7797 0.1723  2 Co 1.89-1.99, 2 Li 2.07-2.11
O 0.2329 0.4721 0.8246  1 Mn 1.95, 2 Co 2.05-2.06, 2 Li 2.10-2.11
O 0.2386 0.9452 0.8143  1 Mn 1.92, 1 Co 2.00, 4 Li 2.03-2.14
O 0.7614 0.0548 0.1857  1 Mn 1.92, 1 Co 2.00, 4 Li 2.03-2.14
O 0.7671 0.5279 0.1754  1 Mn 1.95, 2 Co 2.05-2.06, 2 Li 2.10-2.11
O 0.7723 0.2203 0.8277  2 Co 1.89-1.99, 2 Li 2.07-2.11
O 0.7789 0.7001 0.8262  1 Mn 1.90, 1 Co 2.04, 3 Li 2.06-2.08
O 0.7814 0.3863 0.5054  2 Mn 1.97-1.98, 1 Co 2.12, 2 Li 2.14-2.16
O 0.7825 0.8615 0.5097  1 Mn 1.95, 2 Co 2.04-2.06, 2 Li 2.11-2.13